Record 1
The following is a GGA-PBE calculation of crystalline CaP2Se at its relaxed geometry, from Alexandria via LeMat-Bulk.

```
4
Lattice="-2.0027 2.0027 4.9194 2.0027 -2.0027 4.9194 2.0027 2.0027 -4.9194" Properties=species:S:1:pos:R:3 pbc="T T T"
Ca 0.0000 0.0000 0.0000
P 2.0027 0.0000 2.4597
P 0.0000 0.0000 4.9194
Se 0.0000 2.0027 2.4597
```

crystal system = tetragonal
uncorrected energy = -4.19 eV/atom
formation energy from raw total energies = -0.1113 eV/atom

***

Record 2
The following is a GGA-PBE calculation of crystalline Rb2NaCd12Ag3 at its relaxed geometry, from Alexandria via LeMat-Bulk.

```
18
Lattice="5.4313 3.1357 4.6902 -5.4313 3.1357 4.6902 0.0000 -6.2715 4.6902" Properties=species:S:1:pos:R:3 pbc="T T T"
Rb 0.0000 0.0000 3.4857
Rb 0.0000 0.0000 10.5847
Na 0.0000 0.0000 7.0352
Cd 0.0000 -3.6089 3.7499
Cd -3.1254 1.8045 3.7499
Cd -2.5925 -1.4968 7.5158
Cd 0.0000 -2.9935 6.5546
Cd -2.5925 1.4968 6.5546
Cd -3.1254 -1.8045 10.3205
Cd 3.1254 1.8045 3.7499
Cd 2.5925 -1.4968 7.5159
Cd 0.0000 2.9935 7.5159
Cd 2.5925 1.4968 6.5546
Cd 3.1254 -1.8045 10.3205
Cd 0.0000 3.6089 10.3205
Ag -2.7156 -1.5679 4.6902
Ag -2.7156 1.5679 9.3803
Ag 0.0000 3.1357 4.6901
```

crystal system = trigonal
uncorrected energy = -1.18 eV/atom
formation energy = 0.081 eV per atom

***

Record 3
The following is a GGA-PBE calculation of crystalline YCrOs2 at its relaxed geometry, from Alexandria via LeMat-Bulk.

```
4
Lattice="1.4134 0.8160 9.3783 -1.4134 0.8160 9.3783 0.0000 -1.6321 9.3783" Properties=species:S:1:pos:R:3 pbc="T T T"
Y 0.0000 0.0000 0.0000
Cr 0.0000 0.0000 21.3329
Os 0.0000 0.0000 6.7272
Os 0.0000 0.0000 13.9384
```

crystal system = trigonal
uncorrected energy = -8.99 eV/atom
offset from the most stable computed form = 499 meV/atom
formation energy = 0.642 eV per atom

***

Record 4
The following is a GGA-PBE calculation of crystalline SmHo6In5 at its relaxed geometry, from Alexandria via LeMat-Bulk.

```
12
Lattice="-2.4871 4.3760 7.5236 2.4871 -4.3760 7.5236 2.4871 4.3760 -7.5236" Properties=species:S:1:pos:R:3 pbc="T T T"
Sm 0.0000 0.0000 0.0000
Ho 2.4871 -2.0666 4.9680
Ho 2.4871 2.3933 0.0000
Ho 0.0000 2.3094 2.5557
Ho 2.4871 2.0666 4.9680
Ho 0.0000 1.9827 7.5236
Ho 0.0000 6.4426 2.5557
In 2.4871 0.0000 2.2986
In 0.0000 0.0000 4.8436
In 0.0000 4.3760 0.0000
In 0.0000 0.0000 10.2036
In 0.0000 4.3760 5.2251
```

crystal system = orthorhombic
uncorrected energy = -4.20 eV/atom
formation energy = -0.376 eV per atom

***

Record 5
The following is a GGA-PBE calculation of crystalline Pm2ErTm6Sc at its relaxed geometry, from Alexandria via LeMat-Bulk.

```
20
Lattice="4.4503 -7.3442 0.0000 4.4503 7.3442 0.0000 -1.4690 0.0000 9.3649" Properties=species:S:1:pos:R:3 pbc="T T T"
Pm 2.1439 0.7495 0.4291
Pm 1.4094 -0.7495 5.1115
Pm 6.0222 0.7495 4.2534
Pm 5.2877 -0.7495 8.9358
Er 4.0831 7.0824 2.3412
Er 3.3485 -7.0824 7.0237
Tm 2.3264 4.1079 1.7833
Tm 3.0632 4.5350 5.2276
Tm 3.6339 4.5350 8.8197
Tm 2.9855 1.5390 3.5921
Tm 5.8397 4.1079 2.8991
Tm 5.1806 1.5390 1.0904
Tm 2.2510 -1.5390 8.2745
Tm 1.5919 -4.1079 6.4658
Tm 4.4461 -1.5390 5.7728
Tm 3.7977 -4.5350 0.5451
Tm 4.3684 -4.5350 4.1373
Tm 5.1052 -4.1079 7.5816
Sc 3.3485 1.3340 7.0237
Sc 4.0831 -1.3340 2.3412
```

crystal system = monoclinic
uncorrected energy = -4.60 eV/atom
formation energy = 0.123 eV per atom

***

Record 6
The following is a GGA-PBE calculation of crystalline Li2MnBe at its relaxed geometry, from Alexandria via LeMat-Bulk.

```
4
Lattice="-1.7389 1.7389 4.2319 1.7389 -1.7389 4.2319 1.7389 1.7389 -4.2319" Properties=species:S:1:pos:R:3 pbc="T T T"
Li 1.7389 0.0000 2.1160
Li 0.0000 1.7389 2.1160
Mn 0.0000 0.0000 0.0000
Be 0.0000 0.0000 4.2319
```

crystal system = tetragonal
uncorrected energy = -3.87 eV/atom
formation energy = 0.311 eV per atom